# PmAlZnAu6, optimized geometry, DFT PBE-GGA
# **E_form**: -0.31 eV per atom
data_PmAlZnAu6
_cell_length_a 7.450
_cell_length_b 9.112
_cell_length_c 7.996
_cell_angle_alpha 124.74
_cell_angle_beta 117.77
_cell_angle_gamma 90.00
_space_group_name_H-M_alt 'P 1'
_space_group_IT_number 1
_space_group_name_Hall 'P 1'
loop_
_atom_site_label
_atom_site_type_symbol
_atom_site_fract_x
_atom_site_fract_y
_atom_site_fract_z
_atom_site_occupancy
Zn1 Zn 0.000 0.000 0.500 1
Zn2 Zn 0.500 0.000 0.500 1
Al1 Al 0.500 0.500 0.000 1
Al2 Al 0.500 0.000 0.000 1
Pm1 Pm 0.285 0.535 0.571 1
Pm2 Pm 0.715 0.465 0.429 1
Au1 Au 0.413 0.163 0.825 1
Au2 Au 0.019 0.769 0.037 1
Au3 Au 0.673 0.387 0.745 1
Au4 Au 0.072 0.859 0.745 1
Au5 Au 0.673 0.859 0.745 1
Au6 Au 0.327 0.141 0.255 1
Au7 Au 0.587 0.837 0.175 1
Au8 Au 0.981 0.231 0.963 1
Au9 Au 0.327 0.613 0.255 1
Au10 Au 0.072 0.387 0.745 1
Au11 Au 0.928 0.141 0.255 1
Au12 Au 0.928 0.613 0.255 1



# PmAlZn2Au4, optimized geometry, DFT PBE-GGA
# **E_form**: -0.47 eV per atom
data_PmAlZn2Au4
_cell_length_a 4.507
_cell_length_b 4.507
_cell_length_c 9.028
_cell_angle_alpha 75.54
_cell_angle_beta 75.54
_cell_angle_gamma 60.00
_space_group_name_H-M_alt 'P 1'
_space_group_IT_number 1
_space_group_name_Hall 'P 1'
loop_
_atom_site_label
_atom_site_type_symbol
_atom_site_fract_x
_atom_site_fract_y
_atom_site_fract_z
_atom_site_occupancy
Zn1 Zn 0.752 0.752 0.743 1
Zn2 Zn 0.248 0.248 0.257 1
Au1 Au 0.866 0.866 0.401 1
Au2 Au 0.602 0.602 0.193 1
Au3 Au 0.398 0.398 0.807 1
Au4 Au 0.134 0.134 0.599 1
Pm1 Pm 0.000 0.000 0.000 1
Al1 Al 0.500 0.500 0.500 1



# Pm2ZrAl4Au3, optimized geometry, DFT PBE-GGA
# **E_form**: -0.62 eV per atom
data_Pm2ZrAl4Au3
_cell_length_a 4.317
_cell_length_b 4.317
_cell_length_c 11.379
_cell_angle_alpha 90.00
_cell_angle_beta 90.00
_cell_angle_gamma 90.00
_space_group_name_H-M_alt 'P 1'
_space_group_IT_number 1
_space_group_name_Hall 'P 1'
loop_
_atom_site_label
_atom_site_type_symbol
_atom_site_fract_x
_atom_site_fract_y
_atom_site_fract_z
_atom_site_occupancy
Al1 Al 0.500 0.500 0.000 1
Al2 Al 0.000 0.000 0.000 1
Al3 Al 0.000 0.500 0.347 1
Al4 Al 0.500 0.000 0.653 1
Au1 Au 0.500 0.000 0.874 1
Au2 Au 0.000 0.000 0.500 1
Au3 Au 0.000 0.500 0.126 1
Pm1 Pm 0.000 0.500 0.756 1
Pm2 Pm 0.500 0.000 0.244 1
Zr1 Zr 0.500 0.500 0.500 1



# PrAl3Au4, optimized geometry, DFT PBE-GGA
# **E_form**: -0.54 eV per atom
data_PrAl3Au4
_cell_length_a 4.412
_cell_length_b 4.412
_cell_length_c 8.257
_cell_angle_alpha 90.00
_cell_angle_beta 90.00
_cell_angle_gamma 90.00
_space_group_name_H-M_alt 'P 1'
_space_group_IT_number 1
_space_group_name_Hall 'P 1'
loop_
_atom_site_label
_atom_site_type_symbol
_atom_site_fract_x
_atom_site_fract_y
_atom_site_fract_z
_atom_site_occupancy
Au1 Au 0.500 0.000 0.181 1
Au2 Au 0.000 0.500 0.181 1
Au3 Au 0.000 0.500 0.819 1
Au4 Au 0.500 0.000 0.819 1
Al1 Al 0.500 0.500 0.344 1
Al2 Al 0.000 0.000 0.000 1
Al3 Al 0.500 0.500 0.656 1
Pr1 Pr 0.000 0.000 0.500 1



# PrAl5Au7, optimized geometry, DFT PBE-GGA
# **E_form**: -0.48 eV per atom
data_PrAl5Au7
_cell_length_a 5.556
_cell_length_b 7.094
_cell_length_c 7.094
_cell_angle_alpha 82.63
_cell_angle_beta 66.95
_cell_angle_gamma 66.95
_space_group_name_H-M_alt 'P 1'
_space_group_IT_number 1
_space_group_name_Hall 'P 1'
loop_
_atom_site_label
_atom_site_type_symbol
_atom_site_fract_x
_atom_site_fract_y
_atom_site_fract_z
_atom_site_occupancy
Au1 Au 0.983 0.355 0.678 1
Au2 Au 0.983 0.678 0.355 1
Au3 Au 0.518 0.787 0.178 1
Au4 Au 0.322 0.678 0.678 1
Au5 Au 0.270 0.230 0.230 1
Au6 Au 0.661 0.339 0.339 1
Au7 Au 0.518 0.178 0.787 1
Al1 Al 0.008 0.005 0.490 1
Al2 Al 0.738 0.762 0.762 1
Al3 Al 0.497 0.490 0.005 1
Al4 Al 0.008 0.490 0.005 1
Al5 Al 0.497 0.005 0.490 1
Pr1 Pr 0.997 0.003 0.003 1



# Pr3Al4Au4, optimized geometry, DFT PBE-GGA
# **E_form**: -0.72 eV per atom
data_Pr3Al4Au4
_cell_length_a 4.401
_cell_length_b 7.257
_cell_length_c 8.594
_cell_angle_alpha 114.97
_cell_angle_beta 104.83
_cell_angle_gamma 90.00
_space_group_name_H-M_alt 'P 1'
_space_group_IT_number 1
_space_group_name_Hall 'P 1'
loop_
_atom_site_label
_atom_site_type_symbol
_atom_site_fract_x
_atom_site_fract_y
_atom_site_fract_z
_atom_site_occupancy
Au1 Au 0.500 0.796 0.000 1
Au2 Au 0.500 0.204 0.000 1
Au3 Au 0.217 0.717 0.434 1
Au4 Au 0.783 0.283 0.566 1
Pr1 Pr 0.877 0.877 0.754 1
Pr2 Pr 0.123 0.123 0.246 1
Pr3 Pr 0.000 0.500 0.000 1
Al1 Al 0.326 0.519 0.653 1
Al2 Al 0.674 0.481 0.347 1
Al3 Al 0.674 0.866 0.347 1
Al4 Al 0.326 0.134 0.653 1